Below is crystalline AgBF3 at its relaxed geometry, with properties calculated at the GGA-PBE level.

Lattice parameters (Å, degrees): 4.1845 4.1845 4.1845 90.00 90.00 90.00
Last column: nearest neighbours and their distance in Å.
Space group Pm-3m (No. 221)
Asymmetric unit:
Ag: 0.0000 0.0000 0.0000 [1 per cell]  6 F 2.09
B: 0.5000 0.5000 0.5000 [1 per cell]  12 F 2.96
F: 0.0000 0.0000 0.5000 [3 per cell]  2 Ag 2.09

Energy relative to the lowest polymorph listed for this composition   717 meV per atom
Formation energy without anion corrections   -0.08 eV per atom
DFT total energy   -15.56 eV/f.u.

Below is crystalline Ag3BF at its relaxed geometry, with properties calculated at the GGA-PBE level.

Lattice parameters (Å, degrees): 4.3382 4.3382 4.3382 90.00 90.00 90.00
Last column: nearest neighbours and their distance in Å.
Space group Pm-3m (No. 221)
Asymmetric unit:
Ag: 0.0000 0.0000 0.5000 [3 per cell]  2 B 2.17
B: 0.0000 0.0000 0.0000 [1 per cell]  6 Ag 2.17
F: 0.5000 0.5000 0.5000 [1 per cell]  12 Ag 3.07

Energy relative to the lowest polymorph listed for this composition   0 meV per atom
Formation energy without anion corrections   0.25 eV per atom
DFT total energy   -15.86 eV/f.u.

Below is crystalline AgB2F at its relaxed geometry, with properties calculated at the GGA-PBE level.

Lattice parameters (Å, degrees): 5.0597 5.0597 8.7661 90.00 90.00 90.00
Last column: nearest neighbours and their distance in Å.
Space group I-42d (No. 122)
Asymmetric unit:
Ag: 0.0000 0.0000 0.0000 [4 per cell]  4 B 2.15
B: 0.2338 0.2500 0.6250 [8 per cell]  2 F 2.05, 2 Ag 2.15
F: 0.0000 0.0000 0.5000 [4 per cell]  4 B 2.05

Energy relative to the lowest polymorph listed for this composition   0 meV per atom
Formation energy without anion corrections   1.12 eV per atom
DFT total energy   -13.58 eV/f.u.

| no. | M_tot (μB/cell) |
| --- | --- |
| 1 | 0.000 |
| 2 | 0.000 |
| 3 | 0.000 |